1.
Compound: Re2RuRh6
Source: Alexandria via LeMat-Bulk
Functional: PBE
Structure: optimized geometry

Summary:
As for the space group: C2/m. The value obtained for the formation energy is -0.04 eV/atom. The energy above the most stable polymorph in this dataset is 16 meV per atom.

a b c (Å): 2.718 6.095 8.180
angles (deg): 103.00 90.00 102.88
Positions (direct):
Rh1 0.332 0.663 0.446
Rh2 0.999 0.999 0.671
Re1 0.665 0.331 0.223
Ru1 0.000 0.000 0.000
Rh3 0.667 0.335 0.893
Rh4 0.668 0.337 0.554
Re2 0.335 0.669 0.777
Rh5 0.001 0.001 0.329
Rh6 0.333 0.665 0.107


2.
Compound: V9Ga4Fe3
Source: Alexandria via LeMat-Bulk
Functional: PBE
Structure: optimized geometry

Summary:
As for the space group: Pm. The value obtained for the formation energy is -0.22 eV/atom.

a b c (Å): 4.668 4.689 9.410
angles (deg): 89.72 90.00 90.00
Positions (direct):
V1 0.250 0.005 0.247
Ga1 0.000 0.994 0.998
V2 0.250 0.998 0.751
V3 0.000 0.496 0.121
Ga2 0.500 0.505 0.250
V4 0.000 0.495 0.625
Fe1 0.500 0.754 0.003
V5 0.750 0.005 0.247
Ga3 0.500 0.501 0.755
V6 0.500 0.258 0.003
Fe2 0.000 0.498 0.373
V7 0.750 0.998 0.751
Ga4 0.000 0.997 0.499
Fe3 0.000 0.499 0.876
V8 0.500 0.247 0.501
V9 0.500 0.749 0.501


3.
Compound: Th2MgBi3
Source: Alexandria via LeMat-Bulk
Functional: PBE
Structure: optimized geometry

Summary:
As for the space group: I4/mmm. The value obtained for the formation energy is -0.40 eV/atom.

a b c (Å): 4.557 4.557 10.229
angles (deg): 102.87 102.87 90.00
Positions (direct):
Th1 0.336 0.336 0.671
Bi1 0.500 0.500 0.000
Bi2 0.164 0.164 0.327
Th2 0.664 0.664 0.329
Bi3 0.836 0.836 0.673
Mg1 0.000 0.000 0.000


4.
Compound: KLa3Si
Source: Alexandria via LeMat-Bulk
Functional: PBE
Structure: optimized geometry

Summary:
As for the space group: Pm-3m. For the uncorrected formation energy, the calculation gives 1.424 kcal/mol of atoms. The energy above the most stable polymorph in this dataset is 0 meV per atom.

a b c (Å): 5.947 5.947 5.947
angles (deg): 90.00 90.00 90.00
Positions (direct):
Si1 0.000 0.000 0.000
La1 0.500 0.000 0.000
La2 0.000 0.000 0.500
La3 0.000 0.500 0.000
K1 0.500 0.500 0.500


5.
Compound: PuCuPb2
Source: Alexandria via LeMat-Bulk
Functional: PBE
Structure: optimized geometry

Summary:
As for the space group: R-3m. The value obtained for the formation energy is 0.11 eV/atom. The energy above the most stable polymorph in this dataset is 65 meV per atom.

a b c (Å): 4.679 4.679 6.064
angles (deg): 67.31 67.31 60.00
Positions (direct):
Pb1 0.728 0.728 0.815
Pb2 0.272 0.272 0.185
Pu1 0.500 0.500 0.500
Cu1 0.000 0.000 0.000


6.
Compound: MgIrRu2
Source: Alexandria via LeMat-Bulk
Functional: PBE
Structure: optimized geometry

Summary:
As for the space group: R3m. The value obtained for the formation energy is 0.07 eV/atom.

a b c (Å): 9.026 9.026 9.026
angles (deg): 17.69 17.69 17.69
Positions (direct):
Ru1 0.251 0.251 0.251
Ru2 0.996 0.996 0.996
Ir1 0.502 0.502 0.502
Mg1 0.750 0.750 0.750


7.
Compound: SmMg4Sc5
Source: Alexandria via LeMat-Bulk
Functional: PBE
Structure: optimized geometry

Summary:
As for the space group: P4/mmm. The value obtained for the formation energy is -0.02 eV/atom.

a b c (Å): 3.558 3.558 19.265
angles (deg): 90.00 90.00 90.00
Positions (direct):
Sc1 0.500 0.500 0.121
Mg1 0.000 0.000 0.216
Sc2 0.500 0.500 0.689
Sc3 0.500 0.500 0.311
Sc4 0.500 0.500 0.879
Mg2 0.000 0.000 0.405
Sc5 0.500 0.500 0.500
Mg3 0.000 0.000 0.595
Sm1 0.000 0.000 0.000
Mg4 0.000 0.000 0.784


8.
Compound: Ho3LuFe
Source: Alexandria via LeMat-Bulk
Functional: PBE
Structure: optimized geometry

Summary:
As for the space group: Pm-3m. The value obtained for the formation energy is 0.12 eV/atom.

a b c (Å): 5.216 5.216 5.216
angles (deg): 90.00 90.00 90.00
Positions (direct):
Ho1 0.500 0.000 0.000
Lu1 0.500 0.500 0.500
Ho2 0.000 0.000 0.500
Ho3 0.000 0.500 0.000
Fe1 0.000 0.000 0.000


9.
Compound: Sr2TmPaP4
Source: Alexandria via LeMat-Bulk
Functional: PBE
Structure: optimized geometry

Summary:
As for the space group: P2/m. The value obtained for the formation energy is -1.31 eV/atom.

a b c (Å): 4.159 7.097 7.337
angles (deg): 108.92 90.00 90.00
Positions (direct):
Tm1 0.500 0.500 0.000
P1 0.000 0.746 0.215
P2 0.000 0.254 0.785
Pa1 0.000 0.000 0.000
P3 0.500 0.233 0.214
Sr1 0.000 0.500 0.500
Sr2 0.500 0.000 0.500
P4 0.500 0.767 0.786


10.
Compound: Tb5Te2Au
Source: Alexandria via LeMat-Bulk
Functional: PBE
Structure: optimized geometry

Summary:
As for the space group: Cmcm. For the uncorrected formation energy, the calculation gives -14.593 kcal/mol of atoms.

a b c (Å): 5.970 7.003 13.156
angles (deg): 90.00 90.00 115.23
Positions (direct):
Tb1 0.053 0.106 0.113
Te1 0.192 0.384 0.581
Tb2 0.639 0.277 0.250
Tb3 0.053 0.106 0.387
Tb4 0.947 0.894 0.613
Tb5 0.613 0.226 0.922
Te2 0.192 0.384 0.919
Te3 0.808 0.616 0.419
Tb6 0.387 0.774 0.422
Tb7 0.947 0.894 0.887
Te4 0.808 0.616 0.081
Au1 0.767 0.534 0.750
Tb8 0.387 0.774 0.078
Tb9 0.361 0.723 0.750
Au2 0.233 0.466 0.250
Tb10 0.613 0.226 0.578


11.
Compound: Pm2PrZn2Sn2
Source: Alexandria via LeMat-Bulk
Functional: PBE
Structure: optimized geometry

Summary:
As for the space group: R-3m. The value obtained for the formation energy is -0.39 eV/atom.

a b c (Å): 4.672 4.672 10.131
angles (deg): 76.67 76.67 60.00
Positions (direct):
Pm1 0.868 0.868 0.395
Sn1 0.266 0.266 0.201
Pr1 0.000 0.000 0.000
Zn1 0.582 0.582 0.253
Pm2 0.132 0.132 0.605
Sn2 0.734 0.734 0.799
Zn2 0.418 0.418 0.747


12.
Compound: LiCrIr2
Source: Alexandria via LeMat-Bulk
Functional: PBE
Structure: optimized geometry

Summary:
As for the space group: C2/m. The value obtained for the formation energy is 0.07 eV/atom.

a b c (Å): 4.900 4.900 2.664
angles (deg): 76.86 76.86 113.39
Positions (direct):
Ir1 0.000 0.000 0.000
Ir2 0.500 0.500 0.000
Cr1 0.000 0.500 0.500
Li1 0.500 0.000 0.500


13.
Compound: BeAlW2
Source: Alexandria via LeMat-Bulk
Functional: PBE
Structure: optimized geometry

Summary:
As for the space group: Cmmm. The value obtained for the formation energy is 0.20 eV/atom.

a b c (Å): 4.810 4.810 2.679
angles (deg): 90.00 90.00 112.61
Positions (direct):
Al1 0.500 0.000 0.500
W1 0.000 0.000 0.000
W2 0.500 0.500 0.000
Be1 0.000 0.500 0.500


14.
Compound: Pr5Y3H12
Source: Alexandria via LeMat-Bulk
Functional: PBE
Structure: optimized geometry

Summary:
As for the space group: Ia-3d.

a b c (Å): 11.713 11.713 11.713
angles (deg): 109.47 109.47 109.47
Positions (direct):
H1 0.229 0.657 0.069
H2 0.657 0.229 0.569
H3 0.927 0.588 0.157
H4 0.343 0.573 0.412
H5 0.657 0.427 0.588
Y1 0.250 0.125 0.375
H6 0.912 0.843 0.573
H7 0.427 0.657 0.088
Pr1 0.500 0.000 0.500
Pr2 0.125 0.375 0.250
H8 0.569 0.839 0.412
Y2 0.750 0.375 0.125
Pr3 0.750 0.625 0.375
Y3 0.625 0.375 0.750
H9 0.069 0.157 0.229
H10 0.588 0.927 0.657
H11 0.161 0.431 0.088
Y4 0.375 0.625 0.250
Pr4 0.125 0.750 0.375
Y5 0.625 0.250 0.375
H12 0.161 0.729 0.573
Pr5 0.000 0.500 0.000
H13 0.088 0.931 0.161
H14 0.088 0.157 0.427
Pr6 0.500 0.500 0.000
H15 0.271 0.431 0.843
H16 0.843 0.931 0.271
Y6 0.375 0.750 0.625
H17 0.927 0.339 0.271
Pr7 0.625 0.750 0.875
Y7 0.750 0.875 0.625
H18 0.412 0.339 0.569
H19 0.339 0.412 0.069
Y8 0.125 0.250 0.875
Pr8 0.875 0.625 0.750
Y9 0.875 0.125 0.250
Pr9 0.375 0.125 0.750
H20 0.069 0.912 0.339
H21 0.839 0.271 0.427
H22 0.729 0.161 0.073
H23 0.073 0.661 0.729
H24 0.573 0.229 0.161
Pr10 0.000 0.000 0.500
H25 0.569 0.729 0.657
H26 0.271 0.839 0.927
Pr11 0.500 0.500 0.500
Pr12 0.625 0.875 0.250
Pr13 0.500 0.000 0.000
H27 0.771 0.343 0.931
H28 0.157 0.088 0.927
H29 0.427 0.771 0.839
Pr14 0.875 0.250 0.625
H30 0.661 0.073 0.229
Pr15 0.750 0.125 0.875
H31 0.931 0.088 0.661
H32 0.843 0.912 0.073
H33 0.729 0.569 0.157
H34 0.588 0.661 0.431
Y10 0.875 0.750 0.125
Y11 0.125 0.875 0.750
Pr16 0.000 0.500 0.500
H35 0.157 0.069 0.729
H36 0.931 0.843 0.771
H37 0.912 0.069 0.839
Pr17 0.375 0.250 0.125
H38 0.839 0.569 0.912
H39 0.431 0.271 0.343
Pr18 0.000 0.000 0.000
H40 0.229 0.573 0.661
H41 0.412 0.073 0.343
Pr19 0.250 0.375 0.625
Pr20 0.250 0.875 0.125
H42 0.771 0.427 0.339
H43 0.431 0.161 0.588
H44 0.573 0.343 0.912
H45 0.661 0.588 0.931
Y12 0.250 0.625 0.875
H46 0.339 0.927 0.771
H47 0.343 0.771 0.431
H48 0.073 0.412 0.843


15.
Compound: Ag2HgAu2
Source: Alexandria via LeMat-Bulk
Functional: PBE
Structure: optimized geometry

Summary:
As for the space group: P2_1/m. The value obtained for the formation energy is 0.00 eV/atom. The energy above the most stable polymorph in this dataset is 0 meV per atom.

a b c (Å): 4.911 5.138 7.824
angles (deg): 108.41 90.00 90.00
Positions (direct):
Au1 0.246 0.532 0.397
Ag1 0.246 0.135 0.593
Au2 0.246 0.921 0.200
Ag2 0.746 0.865 0.407
Hg1 0.746 0.261 0.202
Ag3 0.746 0.666 0.002
Au3 0.746 0.468 0.603
Hg2 0.246 0.739 0.798
Au4 0.746 0.079 0.800
Ag4 0.246 0.334 0.998


16.
Compound: TiBePCl2
Source: Alexandria via LeMat-Bulk
Functional: PBE
Structure: optimized geometry

Summary:
As for the space group: P4/mmm. For the uncorrected formation energy, the calculation gives -2.388 kcal/mol of atoms. The energy above the most stable polymorph in this dataset is 0 meV per atom.

a b c (Å): 4.016 4.016 6.339
angles (deg): 90.00 90.00 90.00
Positions (direct):
Be1 0.000 0.000 0.000
P1 0.000 0.000 0.500
Cl1 0.500 0.000 0.000
Cl2 0.000 0.500 0.000
Ti1 0.500 0.500 0.500


17.
Compound: CsPmPb2Br8
Source: Alexandria via LeMat-Bulk
Functional: PBE
Structure: optimized geometry

Summary:
As for the space group: P-1. For the uncorrected formation energy, the calculation gives -31.211 kcal/mol of atoms.

a b c (Å): 7.344 7.001 9.568
angles (deg): 89.64 89.70 88.91
Positions (direct):
Br1 0.159 0.751 0.792
Br2 0.322 0.244 0.000
Br3 0.605 0.731 0.498
Pb1 0.500 0.499 0.749
Cs1 0.000 0.000 0.500
Br4 0.395 0.269 0.502
Br5 0.158 0.749 0.209
Pm1 0.000 0.000 0.000
Br6 0.678 0.756 0.000
Pb2 0.500 0.501 0.251
Br7 0.841 0.249 0.208
Br8 0.842 0.251 0.791


18.
Compound: Cd3Ga2Te6
Source: Alexandria via LeMat-Bulk
Functional: PBE
Structure: optimized geometry

Summary:
As for the space group: C2. For the uncorrected formation energy, the calculation gives -9.060 kcal/mol of atoms.

a b c (Å): 7.842 7.842 8.915
angles (deg): 71.40 71.40 47.42
Positions (direct):
Cd1 0.365 0.635 0.500
Te1 0.951 0.732 0.061
Ga1 0.994 0.345 0.157
Te2 0.585 0.444 0.211
Te3 0.235 0.100 0.408
Te4 0.900 0.765 0.592
Te5 0.268 0.049 0.939
Te6 0.556 0.415 0.789
Cd2 0.986 0.329 0.688
Cd3 0.671 0.014 0.312
Ga2 0.655 0.006 0.843


19.
Compound: CaLaPrGd
Source: Alexandria via LeMat-Bulk
Functional: PBE
Structure: optimized geometry

Summary:
As for the space group: F-43m. The value obtained for the formation energy is 0.10 eV/atom.

a b c (Å): 5.912 5.912 5.912
angles (deg): 60.00 60.00 60.00
Positions (direct):
Pr1 0.000 0.000 0.000
Ca1 0.250 0.250 0.250
Gd1 0.750 0.750 0.750
La1 0.500 0.500 0.500


20.
Compound: PmSi2Ag6
Source: Alexandria via LeMat-Bulk
Functional: PBE
Structure: optimized geometry

Summary:
As for the space group: P4/mmm. For the uncorrected formation energy, the calculation gives -4.554 kcal/mol of atoms.

a b c (Å): 4.228 4.228 9.408
angles (deg): 90.00 90.00 90.00
Positions (direct):
Ag1 0.500 0.000 0.281
Ag2 0.000 0.000 0.500
Pm1 0.000 0.000 0.000
Ag3 0.500 0.000 0.719
Ag4 0.000 0.500 0.719
Ag5 0.500 0.500 0.500
Si1 0.500 0.500 0.122
Ag6 0.000 0.500 0.281
Si2 0.500 0.500 0.878


21.
Compound: PmPuGaPd
Source: Alexandria via LeMat-Bulk
Functional: PBE
Structure: optimized geometry

Summary:
As for the space group: F-43m. The value obtained for the formation energy is -0.42 eV/atom.

a b c (Å): 5.103 5.103 5.103
angles (deg): 60.00 60.00 60.00
Positions (direct):
Ga1 0.500 0.500 0.500
Pm1 0.250 0.250 0.250
Pu1 0.750 0.750 0.750
Pd1 0.000 0.000 0.000


Respective mass density values: 14.09; 7.30; 9.19; 3.82; 11.65; 11.73; 3.22; 8.49; 5.67; 8.32; 7.19; 13.77; 11.71; 5.28; 14.36; 2.58; 4.50; 5.45; 5.42; 8.38; 9.99 g cm⁻³.
Respective uncorrected energy values: -8.736; -7.696; -5.077; -4.199; -6.349; -7.178; -4.294; -5.220; -6.181; -4.722; -3.937; -7.247; -8.143; -4.598; -2.507; -4.248; -3.554; -2.906; -6.343; -3.831; -7.245 eV per atom.